[1]
Rb2Ga2Cu: optimized geometry, GGA-PBE.

The structure belongs to space group P4/mbm (No. 127); the cell edges are 6.905, 6.905 and 6.074 Å and the angles 90.00°, 90.00° and 90.00°. Symmetry generates all atoms from Rb at (0.188, 0.312, 0.000), Ga at (0.134, 0.634, 0.500) and Cu at (0.000, 0.000, 0.500).

[2]
RbGa2Cu2: optimized geometry, GGA-PBE.

The value obtained for the energy above the most stable polymorph in this dataset is 0 meV per atom.

The structure belongs to space group I4/mmm (No. 139); the cell edges are 4.473, 4.473 and 11.872 Å and the angles 90.00°, 90.00° and 90.00°. Symmetry generates all atoms from Rb at (0.000, 0.000, 0.000), Ga at (0.000, 0.000, 0.336) and Cu at (0.000, 0.500, 0.250).

[3]
RbGa2Cu2: optimized geometry, GGA-PBE.

The value obtained for the energy above the most stable polymorph in this dataset is 118 meV per atom.

The structure belongs to space group P4/mbm (No. 127); the cell edges are 8.350, 8.350 and 2.772 Å and the angles 90.00°, 90.00° and 90.00°. Symmetry generates all atoms from Rb at (0.000, 0.000, 0.000), Ga at (0.130, 0.370, 0.500) and Cu at (0.144, 0.644, 0.000).

[4]
Rb2GaCu: optimized geometry, GGA-PBE.

The structure belongs to space group I-42d (No. 122); the cell edges are 13.126, 13.126 and 4.671 Å and the angles 90.00°, 90.00° and 90.00°. Symmetry generates all atoms from Rb at (0.059, 0.250, 0.125), Ga at (0.000, 0.000, 0.500) and Cu at (0.000, 0.000, 0.000).

[5]
RbGa3Cu: optimized geometry, GGA-PBE.

The value obtained for the energy above the most stable polymorph in this dataset is 151 meV per atom.

The structure belongs to space group Pm-3m (No. 221); the cell edges are 4.972, 4.972 and 4.972 Å and the angles 90.00°, 90.00° and 90.00°. Symmetry generates all atoms from Rb at (0.000, 0.000, 0.000), Ga at (0.000, 0.500, 0.500) and Cu at (0.500, 0.500, 0.500).

[6]
RbGa3Cu: optimized geometry, GGA-PBE.

The value obtained for the energy above the most stable polymorph in this dataset is 0 meV per atom.

The structure belongs to space group Cmcm (No. 63); the cell edges are 7.027, 12.312 and 4.998 Å and the angles 90.00°, 90.00° and 90.00°. Symmetry generates all atoms from Rb at (0.000, 0.087, 0.250), Ga at (0.000, 0.295, 0.750), Ga at (0.191, 0.345, 0.250) and Cu at (0.000, 0.500, 0.000).

[7]
RbGaCu2: optimized geometry, GGA-PBE.

The structure belongs to space group I4_1/amd (No. 141, origin choice 2); the cell edges are 5.128, 5.128 and 16.509 Å and the angles 90.00°, 90.00° and 90.00°. Symmetry generates all atoms from Rb at (0.000, 0.250, 0.375), Ga at (0.000, 0.250, 0.875) and Cu at (0.000, 0.000, 0.000).

[8]
Rb2GaCuS: optimized geometry, GGA-PBE.

For the raw formation energy, the calculation gives -0.1362 eV/atom.

The structure belongs to space group P4/mmm (No. 123); the cell edges are 6.682, 6.682 and 4.226 Å and the angles 90.00°, 90.00° and 90.00°. Symmetry generates all atoms from Rb at (0.000, 0.500, 0.000), Ga at (0.000, 0.000, 0.500), Cu at (0.500, 0.500, 0.500) and S at (0.500, 0.500, 0.000).

How do the records compare in energy? In the order shown, they have -22.031 -29.795 -28.612 -33.619 -13.404 -56.625 -45.108 -13.866 eV for the cell shown.
How do the records compare in calculated density? In the order shown, they have 4.29 4.92 6.05 2.51 4.84 5.50 4.32 2.96 g/cm3.